# 1
DFT (PBE) results for crystalline Pm2ScIn2Rh5 at its relaxed geometry.

Unit cell a=3.6264 b=10.4335 c=10.4335 alpha=90.00 beta=90.00 gamma=90.00
Sites, in units of the cell vectors:
Rh (0.5000, 0.0558, 0.8036)
Rh (0.5000, 0.5000, 0.0000)
Rh (0.5000, 0.9442, 0.1964)
Rh (0.5000, 0.5558, 0.6964)
Rh (0.5000, 0.8036, 0.9442)
Rh (0.5000, 0.1964, 0.0558)
Rh (0.5000, 0.3036, 0.5558)
Rh (0.5000, 0.0000, 0.5000)
Rh (0.5000, 0.4442, 0.3036)
Rh (0.5000, 0.6964, 0.4442)
In (0.0000, 0.6304, 0.8696)
In (0.0000, 0.1304, 0.6304)
In (0.0000, 0.3696, 0.1304)
In (0.0000, 0.8696, 0.3696)
Sc (0.0000, 0.0000, 0.0000)
Sc (0.0000, 0.5000, 0.5000)
Pm (0.0000, 0.1686, 0.3314)
Pm (0.0000, 0.3314, 0.8314)
Pm (0.0000, 0.6686, 0.1686)
Pm (0.0000, 0.8314, 0.6686)

Uncorrected energy (eV per atom): -6.328
SG: P4/mbm (127)
Calculated formation energy (kcal/mol of atoms): -12.01
DOS at the Fermi energy (states/eV/atom): 0.69

# 2
DFT (PBE) results for crystalline PmScInRh at its relaxed geometry.

Unit cell a=5.0331 b=5.0331 c=5.0331 alpha=60.00 beta=60.00 gamma=60.00
Sites, in units of the cell vectors:
Sc (0.7500, 0.7500, 0.7500)
Pm (0.2500, 0.2500, 0.2500)
In (0.0000, 0.0000, 0.0000)
Rh (0.5000, 0.5000, 0.5000)

Uncorrected energy (eV per atom): -5.784
SG: F-43m (216)
Calculated formation energy (kcal/mol of atoms): -11.32
DOS at the Fermi energy (states/eV/atom): 0.75

# 3
DFT (PBE) results for crystalline Pm2InSn2Rh5 at its relaxed geometry.

Unit cell a=3.7423 b=10.2874 c=10.2874 alpha=90.00 beta=90.00 gamma=90.00
Sites, in units of the cell vectors:
Rh (0.5000, 0.7032, 0.4394)
Rh (0.5000, 0.0606, 0.7968)
Rh (0.5000, 0.5000, 0.0000)
Rh (0.5000, 0.7968, 0.9394)
Rh (0.5000, 0.4394, 0.2968)
Rh (0.5000, 0.2032, 0.0606)
Rh (0.5000, 0.5606, 0.7032)
Rh (0.5000, 0.0000, 0.5000)
Rh (0.5000, 0.9394, 0.2032)
Rh (0.5000, 0.2968, 0.5606)
Sn (0.0000, 0.8733, 0.3733)
Sn (0.0000, 0.1267, 0.6267)
Sn (0.0000, 0.3733, 0.1267)
Sn (0.0000, 0.6267, 0.8733)
Pm (0.0000, 0.3281, 0.8281)
Pm (0.0000, 0.6719, 0.1719)
Pm (0.0000, 0.8281, 0.6719)
Pm (0.0000, 0.1719, 0.3281)
In (0.0000, 0.0000, 0.0000)
In (0.0000, 0.5000, 0.5000)

Uncorrected energy (eV per atom): -6.248
SG: P4/mbm (127)
Calculated formation energy (kcal/mol of atoms): -12.64
DOS at the Fermi energy (states/eV/atom): 0.40

# 4
DFT (PBE) results for crystalline Pm2In2SnRh5 at its relaxed geometry.

Unit cell a=3.7310 b=10.2496 c=10.2496 alpha=90.00 beta=90.00 gamma=90.00
Sites, in units of the cell vectors:
Rh (0.5000, 0.5000, 0.0000)
Rh (0.5000, 0.8031, 0.9390)
Rh (0.5000, 0.9390, 0.1969)
Rh (0.5000, 0.5610, 0.6969)
Rh (0.5000, 0.1969, 0.0610)
Rh (0.5000, 0.0000, 0.5000)
Rh (0.5000, 0.3031, 0.5610)
Rh (0.5000, 0.4390, 0.3031)
Rh (0.5000, 0.6969, 0.4390)
Rh (0.5000, 0.0610, 0.8031)
Pm (0.0000, 0.8296, 0.6704)
Pm (0.0000, 0.6704, 0.1704)
Pm (0.0000, 0.1704, 0.3296)
Pm (0.0000, 0.3296, 0.8296)
Sn (0.0000, 0.5000, 0.5000)
Sn (0.0000, 0.0000, 0.0000)
In (0.0000, 0.6279, 0.8721)
In (0.0000, 0.3721, 0.1279)
In (0.0000, 0.1279, 0.6279)
In (0.0000, 0.8721, 0.3721)

Uncorrected energy (eV per atom): -6.079
SG: P4/mbm (127)
Calculated formation energy (kcal/mol of atoms): -11.65
DOS at the Fermi energy (states/eV/atom): 0.36

# 5
DFT (PBE) results for crystalline Tb2PmInRh4 at its relaxed geometry.

Unit cell a=4.8260 b=4.8260 c=8.3276 alpha=73.16 beta=73.16 gamma=60.00
Sites, in units of the cell vectors:
Tb (0.7561, 0.7561, 0.7318)
Tb (0.2439, 0.2439, 0.2682)
Rh (0.8754, 0.8754, 0.3738)
Rh (0.3773, 0.3773, 0.8680)
Rh (0.6227, 0.6227, 0.1320)
Rh (0.1246, 0.1246, 0.6262)
In (0.5000, 0.5000, 0.5000)
Pm (0.0000, 0.0000, 0.0000)

Uncorrected energy (eV per atom): -6.502
SG: R-3m (166)
Calculated formation energy (kcal/mol of atoms): -16.90
DOS at the Fermi energy (states/eV/atom): 0.31

# 6
DFT (PBE) results for crystalline TbPmInRh at its relaxed geometry.

Unit cell a=5.1732 b=5.1732 c=5.1732 alpha=60.00 beta=60.00 gamma=60.00
Sites, in units of the cell vectors:
In (0.5000, 0.5000, 0.5000)
Rh (0.0000, 0.0000, 0.0000)
Pm (0.7500, 0.7500, 0.7500)
Tb (0.2500, 0.2500, 0.2500)

Uncorrected energy (eV per atom): -5.368
SG: F-43m (216)
Calculated formation energy (kcal/mol of atoms): -11.54
DOS at the Fermi energy (states/eV/atom): 0.86

# 7
DFT (PBE) results for crystalline Pm2Ti2InRh5 at its relaxed geometry.

Unit cell a=3.6668 b=10.1021 c=10.1021 alpha=90.00 beta=90.00 gamma=90.00
Sites, in units of the cell vectors:
Pm (0.0000, 0.1831, 0.3169)
Pm (0.0000, 0.3169, 0.8169)
Pm (0.0000, 0.6831, 0.1831)
Pm (0.0000, 0.8169, 0.6831)
Ti (0.0000, 0.8837, 0.3837)
Ti (0.0000, 0.1163, 0.6163)
Ti (0.0000, 0.6163, 0.8837)
Ti (0.0000, 0.3837, 0.1163)
Rh (0.5000, 0.5000, 0.0000)
Rh (0.5000, 0.2138, 0.0626)
Rh (0.5000, 0.0000, 0.5000)
Rh (0.5000, 0.4374, 0.2862)
Rh (0.5000, 0.7138, 0.4374)
Rh (0.5000, 0.2862, 0.5626)
Rh (0.5000, 0.7862, 0.9374)
Rh (0.5000, 0.0626, 0.7862)
Rh (0.5000, 0.9374, 0.2138)
Rh (0.5000, 0.5626, 0.7138)
In (0.0000, 0.0000, 0.0000)
In (0.0000, 0.5000, 0.5000)

Uncorrected energy (eV per atom): -7.040
SG: P4/mbm (127)
Calculated formation energy (kcal/mol of atoms): -12.94
DOS at the Fermi energy (states/eV/atom): 0.43

# 8
DFT (PBE) results for crystalline PmTlInRh at its relaxed geometry.

Unit cell a=5.0558 b=5.0558 c=5.0558 alpha=60.00 beta=60.00 gamma=60.00
Sites, in units of the cell vectors:
Rh (0.5000, 0.5000, 0.5000)
Tl (0.0000, 0.0000, 0.0000)
Pm (0.2500, 0.2500, 0.2500)
In (0.7500, 0.7500, 0.7500)

Uncorrected energy (eV per atom): -4.588
SG: F-43m (216)
Calculated formation energy (kcal/mol of atoms): -6.60
DOS at the Fermi energy (states/eV/atom): 0.54

# 9
DFT (PBE) results for crystalline PmTmInRh at its relaxed geometry.

Unit cell a=5.1325 b=5.1325 c=5.1325 alpha=60.00 beta=60.00 gamma=60.00
Sites, in units of the cell vectors:
In (0.5000, 0.5000, 0.5000)
Pm (0.7500, 0.7500, 0.7500)
Tm (0.2500, 0.2500, 0.2500)
Rh (0.0000, 0.0000, 0.0000)

Uncorrected energy (eV per atom): -5.348
SG: F-43m (216)
Calculated formation energy (kcal/mol of atoms): -12.00
DOS at the Fermi energy (states/eV/atom): 0.72

# 10
DFT (PBE) results for crystalline PmTm2InRh4 at its relaxed geometry.

Unit cell a=4.7752 b=4.7752 c=8.2622 alpha=73.20 beta=73.20 gamma=60.00
Sites, in units of the cell vectors:
In (0.5000, 0.5000, 0.5000)
Tm (0.2439, 0.2439, 0.2684)
Tm (0.7561, 0.7561, 0.7316)
Rh (0.6221, 0.6221, 0.1337)
Rh (0.1251, 0.1251, 0.6247)
Rh (0.3779, 0.3779, 0.8663)
Rh (0.8749, 0.8749, 0.3753)
Pm (0.0000, 0.0000, 0.0000)

Uncorrected energy (eV per atom): -6.521
SG: R-3m (166)
Calculated formation energy (kcal/mol of atoms): -18.24
DOS at the Fermi energy (states/eV/atom): 0.30

# 11
DFT (PBE) results for crystalline PmYInRh at its relaxed geometry.

Unit cell a=5.1697 b=5.1697 c=5.1697 alpha=60.00 beta=60.00 gamma=60.00
Sites, in units of the cell vectors:
Y (0.7500, 0.7500, 0.7500)
Rh (0.0000, 0.0000, 0.0000)
In (0.5000, 0.5000, 0.5000)
Pm (0.2500, 0.2500, 0.2500)

Uncorrected energy (eV per atom): -5.839
SG: F-43m (216)
Calculated formation energy (kcal/mol of atoms): -11.84
DOS at the Fermi energy (states/eV/atom): 0.82

# 12
DFT (PBE) results for crystalline PmZnInRh at its relaxed geometry.

Unit cell a=4.8537 b=4.8537 c=4.8537 alpha=60.00 beta=60.00 gamma=60.00
Sites, in units of the cell vectors:
Zn (0.2500, 0.2500, 0.2500)
Pm (0.0000, 0.0000, 0.0000)
In (0.5000, 0.5000, 0.5000)
Rh (0.7500, 0.7500, 0.7500)

Uncorrected energy (eV per atom): -4.457
SG: F-43m (216)
Calculated formation energy (kcal/mol of atoms): -9.88
DOS at the Fermi energy (states/eV/atom): 0.86